Below is a relaxed structure of BaSrZnO3, with properties calculated at the PBE-GGA level.

As for the calculated total energy: -5.470 eV per atom. For the calculated volume, the calculation gives 447.2 Å³ per cell. The crystal system is orthorhombic. As for the energy relative to the elements, uncorrected: -2178 meV per atom. The calculation puts the density at 5025 kg/m³.

Cell: 3.600 12.020 10.334 Å, 90.00 90.00 90.00°
Space group Cmcm (No. 63)
Unique sites:
Ba  0.000  0.239  0.250
Sr  0.000  0.000  0.000
Zn  0.000  0.487  0.750
O  0.000  0.077  0.750
O  0.000  0.383  0.602

Below is a relaxed structure of MgZr2TiSe, with properties calculated at the PBE-GGA level.

As for the calculated total energy: -5.824 eV per atom. For the calculated volume, the calculation gives 120.7 Å³ per cell. The crystal system is tetragonal. As for the energy relative to the elements, uncorrected: 190 meV per atom. The calculation puts the density at 4589 kg/m³.

Cell: 5.017 5.017 4.796 Å, 90.00 90.00 90.00°
Space group P4/mmm (No. 123)
Unique sites:
Mg  0.000  0.000  0.000
Zr  0.000  0.500  0.500
Ti  0.500  0.500  0.000
Se  0.000  0.000  0.500

Below is a relaxed structure of NiHgP2, with properties calculated at the PBE-GGA level.

As for the calculated total energy: -4.205 eV per atom. For the calculated volume, the calculation gives 146.9 Å³ per cell. The crystal system is monoclinic. As for the formation energy: 0.08 eV per formula unit. The calculation puts the density at 7265 kg/m³.

Cell: 7.325 3.526 6.094 Å, 90.00 111.10 90.00°
Space group Cm (No. 8)
Unique sites:
Ni  0.000  0.000  0.000
Hg  0.157  0.500  0.400
P  0.303  0.000  0.010
P  0.415  0.000  0.728

Below is a relaxed structure of DyY2As3, with properties calculated at the PBE-GGA level.

As for the calculated total energy: -6.798 eV per atom. For the calculated volume, the calculation gives 297.2 Å³ per cell. The crystal system is orthorhombic. As for the formation energy: -9.31 eV per formula unit. The calculation puts the density at 6314 kg/m³.

Cell: 4.125 5.828 12.363 Å, 90.00 90.00 90.00°
Space group Immm (No. 71)
Unique sites:
Dy  0.000  0.000  0.000
Y  0.000  0.000  0.333
As  0.000  0.500  0.000
As  0.000  0.500  0.334

Below is a relaxed structure of CaTlB, with properties calculated at the PBE-GGA level.

As for the calculated total energy: -3.256 eV per atom. For the calculated volume, the calculation gives 129.6 Å³ per cell. The crystal system is tetragonal. As for the formation energy: 1.28 eV per formula unit. The calculation puts the density at 6543 kg/m³.

Cell: 4.420 4.420 6.631 Å, 90.00 90.00 90.00°
Space group P4/nmm (No. 129, origin choice 2)
Unique sites:
Ca  0.250  0.250  0.227
Tl  0.250  0.250  0.719
B  0.250  0.750  0.500

Below is a relaxed structure of Mg2ScCd, with properties calculated at the PBE-GGA level.

As for the calculated total energy: -2.762 eV per atom. For the calculated volume, the calculation gives 88.5 Å³ per cell. The crystal system is tetragonal. As for the formation energy: -0.61 eV per formula unit. The calculation puts the density at 3865 kg/m³.

Cell: 4.346 4.346 4.686 Å, 90.00 90.00 90.00°
Space group P4/mmm (No. 123)
Unique sites:
Mg  0.000  0.500  0.000
Sc  0.000  0.000  0.500
Cd  0.500  0.500  0.500

Below is a relaxed structure of NdYSc2Se4, with properties calculated at the PBE-GGA level.

As for the calculated total energy: -6.412 eV per atom. For the calculated volume, the calculation gives 183.7 Å³ per cell. The crystal system is monoclinic. As for the energy relative to the elements, uncorrected: -1683 meV per atom. The calculation puts the density at 5777 kg/m³.

Cell: 6.936 3.970 7.050 Å, 90.00 108.87 90.00°
Space group P2/m (No. 10)
Unique sites:
Nd  0.000  0.000  0.000
Y  0.500  0.500  0.000
Sc  0.000  0.500  0.500
Sc  0.500  0.000  0.500
Se  0.249  0.000  0.729
Se  0.264  0.500  0.275

Below is a relaxed structure of Be2InSb, with properties calculated at the PBE-GGA level.

As for the calculated total energy: -2.899 eV per atom. For the calculated volume, the calculation gives 150.3 Å³ per cell. The calculation puts the energy above the most stable polymorph in this dataset at 0.411 eV/atom. The crystal system is orthorhombic. As for the energy relative to the elements, uncorrected: 680 meV per atom. The calculation puts the density at 5626 kg/m³.

Cell: 3.949 5.477 6.948 Å, 90.00 90.00 90.00°
Space group Cmmm (No. 65)
Unique sites:
Be  0.000  0.000  0.244
In  0.000  0.500  0.500
Sb  0.000  0.500  0.000

Below is a relaxed structure of InHRh4, with properties calculated at the PBE-GGA level.

As for the calculated total energy: -5.534 eV per atom. For the calculated volume, the calculation gives 184.0 Å³ per cell. The crystal system is monoclinic. The calculation puts the density at 9522 kg/m³.

Cell: 5.229 5.229 6.729 Å, 90.00 90.08 90.00°
Space group C2/m (No. 12)
Unique sites:
In  0.000  0.000  0.000
H  0.000  0.500  0.500
Rh  0.250  0.250  0.315

Below is a relaxed structure of CoNiB, with properties calculated at the PBE-GGA level.

As for the calculated total energy: -6.652 eV per atom. For the calculated volume, the calculation gives 108.8 Å³ per cell. The crystal system is orthorhombic. As for the formation energy: -0.39 eV per formula unit. The calculation puts the density at 7843 kg/m³.

Cell: 2.890 8.121 4.635 Å, 90.00 90.00 90.00°
Space group Cmcm (No. 63)
Unique sites:
Co  0.000  0.218  0.250
Ni  0.000  0.500  0.000
B  0.000  0.115  0.750

Below is a relaxed structure of CsK2CdH5, with properties calculated at the PBE-GGA level.

As for the calculated total energy: -2.484 eV per atom. For the calculated volume, the calculation gives 742.9 Å³ per cell. The crystal system is tetragonal. The calculation puts the density at 2938 kg/m³.

Cell: 7.838 7.838 12.092 Å, 90.00 90.00 90.00°
Space group I4/mcm (No. 140)
Unique sites:
Cs  0.000  0.000  0.250
K  0.182  0.318  0.000
Cd  0.000  0.500  0.250
H  0.000  0.000  0.000
H  0.130  0.370  0.346

Below is a relaxed structure of CdCuSe2N, with properties calculated at the PBE-GGA level.

As for the calculated total energy: -2.741 eV per atom. For the calculated volume, the calculation gives 117.6 Å³ per cell. The calculation puts the energy above the most stable polymorph in this dataset at 0.657 eV/atom. The crystal system is tetragonal. As for the energy relative to the elements, uncorrected: 1320 meV per atom. The calculation puts the density at 4910 kg/m³.

Cell: 5.327 5.327 4.145 Å, 90.00 90.00 90.00°
Space group P4/mmm (No. 123)
Unique sites:
Cd  0.000  0.000  0.000
Cu  0.500  0.500  0.500
Se  0.000  0.500  0.000
N  0.000  0.000  0.500